Entry 1:
The following is a PBE calculation of crystalline CaTiPO2 at its relaxed geometry, from Alexandria via LeMat-Bulk.

Unit cell a=3.9382 b=3.9382 c=4.9583 alpha=90.00 beta=90.00 gamma=90.00
Last column: nearest neighbours and their distance in Å.
Space group P4/mmm (No. 123)
Symmetry-distinct sites (fractional):
Ca  0.0000  0.0000  0.0000  4 P 2.78
Ti  0.5000  0.5000  0.5000  4 O 1.97
P  0.5000  0.5000  0.0000  2 Ti 2.48
O  0.0000  0.5000  0.5000  2 Ti 1.97

formation energy (no corrections)	-1.854	eV/atom
E above lowest polymorph	0	meV/atom
theoretical density	3.26	g cm⁻³
magnetic moment	0.00	μB/cell

Entry 2:
The following is a PBE calculation of crystalline CaTi2P2O10 at its relaxed geometry, from Alexandria via LeMat-Bulk.

Unit cell a=11.8939 b=16.2823 c=7.2770 alpha=90.00 beta=90.00 gamma=90.00
Last column: nearest neighbours and their distance in Å.
Space group Fdd2 (No. 43)
Symmetry-distinct sites (fractional):
Ca  0.0000  0.0000  0.0000  4 O 2.40-2.42
Ti  0.1155  0.3798  0.8884  1 O 1.72
P  0.0000  0.2085  0.0038  4 O 1.55-1.56
O  0.9999  0.0831  0.5031  1 Ti 1.72
O  0.0129  0.3500  0.6700  1 P 1.55
O  0.0153  0.1524  0.8331  1 P 1.55
O  0.1043  0.2653  0.0244  1 P 1.55
O  0.1064  0.2367  0.4838  1 P 1.56

formation energy (no corrections)	-2.707	eV/atom
theoretical density	3.37	g cm⁻³
magnetic moment	0.00	μB/cell

Entry 3:
The following is a PBE calculation of crystalline CaTiP2O at its relaxed geometry, from Alexandria via LeMat-Bulk.

Unit cell a=4.9891 b=4.9891 c=3.7490 alpha=90.00 beta=90.00 gamma=90.00
Last column: nearest neighbours and their distance in Å.
Space group P4/mmm (No. 123)
Symmetry-distinct sites (fractional):
Ca  0.0000  0.0000  0.0000  8 P 3.12
Ti  0.5000  0.5000  0.5000  2 O 1.87
P  0.0000  0.5000  0.5000  2 Ti 2.49
O  0.5000  0.5000  0.0000  2 Ti 1.87

formation energy (no corrections)	-1.079	eV/atom
E above lowest polymorph	0	meV/atom
theoretical density	2.95	g cm⁻³
magnetic moment	0.00	μB/cell

Entry 4:
The following is a PBE calculation of crystalline CaTiP2O7 at its relaxed geometry, from Alexandria via LeMat-Bulk.

Unit cell a=6.5978 b=6.6532 c=6.6690 alpha=67.82 beta=81.36 gamma=81.49
Last column: nearest neighbours and their distance in Å.
Space group P-1 (No. 2)
Symmetry-distinct sites (fractional):
Ca  0.0792  0.2286  0.2394  5 O 2.34-2.45
Ti  0.3797  0.4171  0.6964  6 O 2.17-2.30
P  0.1195  0.7150  0.2548  4 O 1.52-1.61
P  0.3947  0.8597  0.8425  4 O 1.51-1.66
O  0.0228  0.8502  0.3902  1 P 1.52
O  0.0370  0.3882  0.8196  1 P 1.55
O  0.2230  0.8927  0.0400  2 P 1.61-1.66
O  0.2886  0.7233  0.7554  1 P 1.54
O  0.2895  0.5345  0.3611  1 P 1.55
O  0.4122  0.2680  0.0468  1 P 1.54
O  0.4260  0.0894  0.6907  1 P 1.51

formation energy (no corrections)	-2.477	eV/atom
E above lowest polymorph	0	meV/atom
theoretical density	3.26	g cm⁻³
magnetic moment	4.04	μB/cell

Entry 5:
The following is a PBE calculation of crystalline CaTiP2O7 at its relaxed geometry, from Alexandria via LeMat-Bulk.

Unit cell a=5.9797 b=6.6467 c=7.5198 alpha=84.12 beta=85.51 gamma=66.59
Last column: nearest neighbours and their distance in Å.
Space group P-1 (No. 2)
Symmetry-distinct sites (fractional):
Ca  0.2075  0.3227  0.3258  6 O 2.34-2.50
Ti  0.1672  0.9085  0.8611  4 O 2.07-2.17
P  0.2671  0.7829  0.4165  4 O 1.52-1.62
P  0.3318  0.3523  0.8729  4 O 1.52-1.62
O  0.1166  0.6456  0.4667  1 P 1.52
O  0.1323  0.0004  0.3036  1 P 1.55
O  0.1409  0.5908  0.8719  1 P 1.54
O  0.2300  0.1944  0.8149  1 P 1.52
O  0.3891  0.8239  0.5722  1 P 1.53
O  0.4642  0.2712  0.0506  1 P 1.54
O  0.4697  0.6280  0.2792  2 P 1.62

formation energy (no corrections)	-2.459	eV/atom
E above lowest polymorph	17	meV/atom
theoretical density	3.19	g cm⁻³
magnetic moment	4.06	μB/cell

Question: Look up the magnetic moment of the first one.
Answer: 0.00 μB/cell